Record 1
{
  "formula": "In10Hg3Pb",
  "functional": "PBE-GGA",
  "state": "optimized geometry",
  "lattice_angstrom": [[0.000, 7.445, 7.445], [7.445, 0.000, 7.445], [7.445, 7.445, 0.000]],
  "species": ["In", "In", "In", "In", "In", "In", "In", "In", "In", "In", "In", "In", "In", "In", "In", "In", "In", "In", "In", "In", "Hg", "Hg", "Hg", "Hg", "Hg", "Hg", "Pb", "Pb"],
  "frac_coords": [[0.000, 0.000, 0.345], [0.000, 0.000, 0.655], [0.000, 0.345, 0.000], [0.000, 0.345, 0.655], [0.000, 0.655, 0.000], [0.000, 0.655, 0.345], [0.114, 0.629, 0.629], [0.345, 0.000, 0.000], [0.345, 0.000, 0.655], [0.345, 0.655, 0.000], [0.371, 0.371, 0.371], [0.371, 0.371, 0.886], [0.371, 0.886, 0.371], [0.629, 0.114, 0.629], [0.629, 0.629, 0.114], [0.629, 0.629, 0.629], [0.655, 0.000, 0.000], [0.655, 0.000, 0.345], [0.655, 0.345, 0.000], [0.886, 0.371, 0.371], [0.285, 0.285, 0.715], [0.285, 0.715, 0.285], [0.285, 0.715, 0.715], [0.715, 0.285, 0.285], [0.715, 0.285, 0.715], [0.715, 0.715, 0.285], [0.250, 0.250, 0.250], [0.750, 0.750, 0.750]],
  "final_energy_ev_per_cell": -61.36,
  "crystal_system": "cubic"
}



Record 2
{
  "formula": "InHg2Pb",
  "functional": "PBE-GGA",
  "state": "optimized geometry",
  "lattice_angstrom": [[12.958, 0.000, 0.000], [0.000, 3.490, 0.000], [-0.006, 0.000, 4.874]],
  "species": ["In", "In", "Hg", "Hg", "Hg", "Hg", "Pb", "Pb"],
  "frac_coords": [[0.000, 0.000, 0.000], [0.500, 0.500, 0.000], [0.258, 0.000, 0.000], [0.404, 0.000, 0.500], [0.758, 0.500, 0.000], [0.904, 0.500, 0.500], [0.157, 0.500, 0.500], [0.657, 0.000, 0.500]],
  "final_energy_ev_per_cell": -13.88,
  "crystal_system": "monoclinic"
}



Record 3
{
  "formula": "In7HgPb3",
  "functional": "PBE-GGA",
  "state": "optimized geometry",
  "lattice_angstrom": [[1.887, -12.811, 0.000], [1.887, 12.811, 0.000], [0.000, 0.000, 13.525]],
  "species": ["In", "In", "In", "In", "In", "In", "In", "In", "In", "In", "In", "In", "In", "In", "Hg", "Hg", "Pb", "Pb", "Pb", "Pb", "Pb", "Pb"],
  "frac_coords": [[0.040, 0.960, 0.596], [0.040, 0.960, 0.904], [0.089, 0.911, 0.117], [0.089, 0.911, 0.383], [0.198, 0.802, 0.750], [0.223, 0.777, 0.083], [0.223, 0.777, 0.417], [0.777, 0.223, 0.583], [0.777, 0.223, 0.917], [0.802, 0.198, 0.250], [0.911, 0.089, 0.617], [0.911, 0.089, 0.883], [0.960, 0.040, 0.096], [0.960, 0.040, 0.404], [0.490, 0.510, 0.750], [0.510, 0.490, 0.250], [0.332, 0.668, 0.750], [0.352, 0.648, 0.070], [0.352, 0.648, 0.430], [0.648, 0.352, 0.570], [0.648, 0.352, 0.930], [0.668, 0.332, 0.250]],
  "final_energy_ev_per_cell": -59.91,
  "crystal_system": "orthorhombic"
}



Record 4
{
  "formula": "In2Hg3Pb2",
  "functional": "PBE-GGA",
  "state": "optimized geometry",
  "lattice_angstrom": [[5.837, 0.000, 0.000], [0.000, 9.576, 0.000], [-0.763, 0.000, 7.135]],
  "species": ["In", "In", "In", "In", "Hg", "Hg", "Hg", "Hg", "Hg", "Hg", "Pb", "Pb", "Pb", "Pb"],
  "frac_coords": [[0.001, 0.250, 0.250], [0.001, 0.250, 0.750], [0.999, 0.750, 0.250], [0.999, 0.750, 0.750], [0.000, 0.000, 0.000], [0.000, 0.500, 0.500], [0.263, 0.000, 0.566], [0.263, 0.500, 0.066], [0.737, 0.000, 0.434], [0.737, 0.500, 0.934], [0.499, 0.688, 0.500], [0.499, 0.812, 0.000], [0.501, 0.188, 0.000], [0.501, 0.312, 0.500]],
  "de_polymorph_ev_per_atom": 0.017,
  "crystal_system": "monoclinic"
}



Record 5
{
  "formula": "In8Hg3Pb2",
  "functional": "PBE-GGA",
  "state": "optimized geometry",
  "lattice_angstrom": [[7.357, -4.610, 0.000], [7.357, 4.610, 0.000], [-0.755, 0.000, 5.499]],
  "species": ["In", "In", "In", "In", "In", "In", "In", "In", "Hg", "Hg", "Hg", "Pb", "Pb"],
  "frac_coords": [[0.052, 0.052, 0.255], [0.117, 0.562, 0.838], [0.319, 0.319, 0.331], [0.438, 0.883, 0.162], [0.562, 0.117, 0.838], [0.681, 0.681, 0.669], [0.883, 0.438, 0.162], [0.948, 0.948, 0.745], [0.305, 0.695, 0.500], [0.500, 0.500, 0.000], [0.695, 0.305, 0.500], [0.174, 0.174, 0.767], [0.826, 0.826, 0.233]],
  "de_polymorph_ev_per_atom": 0.000,
  "crystal_system": "monoclinic"
}



Record 6
{
  "formula": "In3Hg4Pb4",
  "functional": "PBE-GGA",
  "state": "optimized geometry",
  "lattice_angstrom": [[10.241, 0.000, 0.000], [0.000, 2.236, 7.008], [0.000, -2.236, 7.008]],
  "species": ["In", "In", "In", "Hg", "Hg", "Hg", "Hg", "Pb", "Pb", "Pb", "Pb"],
  "frac_coords": [[0.000, 0.000, 0.000], [0.271, 0.160, 0.160], [0.729, 0.160, 0.160], [0.000, 0.647, 0.647], [0.278, 0.510, 0.510], [0.500, 0.666, 0.666], [0.722, 0.510, 0.510], [0.000, 0.310, 0.310], [0.249, 0.848, 0.848], [0.500, 0.342, 0.342], [0.751, 0.848, 0.848]],
  "de_polymorph_ev_per_atom": 0.030,
  "crystal_system": "orthorhombic"
}